4
Lattice="-3.049 1.598 -0.626 -1.305 -3.910 -3.624 -1.795 -2.228 3.050" Properties=species:S:1:pos:R:3 comment="FeTe2Mo PBE relaxed" de_polymorph_mev_per_atom=936 magnetic_moment_mub_per_cell=2.47 e_tot_ev_per_atom=-5.599 e_form_raw_ev_per_atom=0.796 pbc="T T T"
Fe -2.422 -0.315 1.212
Mo -1.550 -3.069 -0.287
Te 0.000 0.000 0.000
Te -2.177 -1.156 -2.125

---

4
Lattice="4.831 0.000 0.000 2.416 4.184 0.000 2.416 1.395 3.945" Properties=species:S:1:pos:R:3 comment="FeTe2Mo PBE relaxed" de_polymorph_mev_per_atom=1104 magnetic_moment_mub_per_cell=3.34 e_tot_ev_per_atom=-5.431 e_form_raw_ev_per_atom=0.964 pbc="T T T"
Fe 4.831 2.789 1.972
Mo 7.247 4.184 2.959
Te 0.000 0.000 0.000
Te 2.416 1.395 0.986

---

5
Lattice="4.529 0.000 0.000 0.000 4.529 0.000 0.000 0.000 4.529" Properties=species:S:1:pos:R:3 comment="FeTeMo3 PBE relaxed" de_polymorph_mev_per_atom=0 magnetic_moment_mub_per_cell=0.00 e_tot_ev_per_atom=-7.730 e_form_raw_ev_per_atom=1.090 pbc="T T T"
Mo 0.000 2.265 0.000
Mo 0.000 0.000 2.265
Mo 2.265 0.000 0.000
Te 2.265 2.265 2.265
Fe 0.000 0.000 0.000

---

4
Lattice="-2.615 -4.330 -3.470 -0.564 0.336 5.375 -2.900 1.237 0.535" Properties=species:S:1:pos:R:3 comment="FeTe2Mo PBE relaxed" de_polymorph_mev_per_atom=929 magnetic_moment_mub_per_cell=1.97 e_tot_ev_per_atom=-5.605 e_form_raw_ev_per_atom=0.789 pbc="T T T"
Fe -1.732 0.787 2.955
Mo -1.590 -1.997 0.953
Te 0.000 0.000 0.000
Te -2.757 -1.547 -1.467

---

3
Lattice="-2.921 2.948 0.991 0.369 -1.370 -4.024 -2.062 -2.235 0.572" Properties=species:S:1:pos:R:3 comment="FeTeMo PBE relaxed" de_polymorph_mev_per_atom=351 magnetic_moment_mub_per_cell=2.10 e_tot_ev_per_atom=-6.955 e_form_raw_ev_per_atom=0.524 pbc="T T T"
Fe -1.714 -1.859 0.476
Mo -1.416 -0.677 -2.161
Te -3.546 -0.357 -0.203

---

3
Lattice="4.179 0.000 0.000 2.090 3.619 0.000 2.090 1.206 3.412" Properties=species:S:1:pos:R:3 comment="FeTeMo PBE relaxed" de_polymorph_mev_per_atom=160 magnetic_moment_mub_per_cell=0.75 e_tot_ev_per_atom=-7.145 e_form_raw_ev_per_atom=0.333 pbc="T T T"
Fe 6.269 3.619 2.559
Mo 0.000 0.000 0.000
Te 4.179 2.413 1.706

---

4
Lattice="3.357 0.000 0.000 0.000 3.357 0.000 0.000 0.000 7.876" Properties=species:S:1:pos:R:3 comment="FeTe2Mo PBE relaxed" de_polymorph_mev_per_atom=278 magnetic_moment_mub_per_cell=2.46 e_tot_ev_per_atom=-6.256 e_form_raw_ev_per_atom=0.138 pbc="T T T"
Fe 0.000 0.000 4.172
Mo 1.679 1.679 5.586
Te 0.000 0.000 7.109
Te 1.679 1.679 2.822

---

4
Lattice="-6.373 4.132 0.209 -7.311 -0.456 -2.019 6.237 -2.984 3.151" Properties=species:S:1:pos:R:3 comment="FeTe2Mo PBE relaxed" de_polymorph_mev_per_atom=370 magnetic_moment_mub_per_cell=2.40 e_tot_ev_per_atom=-6.164 e_form_raw_ev_per_atom=0.230 pbc="T T T"
Fe -7.673 2.061 -1.015
Mo -2.397 1.199 1.372
Te -0.142 0.038 -0.019
Te -4.077 -0.770 0.098